Record 1
Below is a geometry-optimized La12Tb5Er structure, with properties calculated at the GGA-PBE level.

The calculation puts the formation energy at 0.3 eV per formula unit. For the size of the total moment, the calculation gives 0.00 μB/f.u. The calculated density comes out at 6.93 g/cm3. The total DFT energy (no corrections) is -86.5 eV per formula unit.

The space group is C2/m (No. 12) and the conventional cell measures 19.104, 10.935 and 6.385 Å, with angles of 90.00, 109.12 and 90.00 degrees. The inequivalent atoms are La at (0.000, 0.170, 0.000), La at (0.000, 0.328, 0.500), La at (0.167, 0.171, 0.833), La at (0.167, 0.329, 0.333), Tb at (0.000, 0.500, 0.000), Tb at (0.166, 0.000, 0.334), Tb at (0.167, 0.500, 0.833) and Er at (0.000, 0.000, 0.500).


Record 2
Below is a geometry-optimized Ag2AsI6 structure, with properties calculated at the GGA-PBE level.

The energy above the most stable polymorph in this dataset comes out at 0 meV per atom. For the uncorrected formation energy, the calculation gives -104 meV/atom. For the size of the total moment, the calculation gives 0.00 μB/f.u. The calculated density comes out at 5.36 g/cm3. The total DFT energy (no corrections) is -20.6 eV per formula unit.

The space group is P4_2/mnm (No. 136) and the conventional cell measures 7.076, 7.076 and 13.016 Å, with angles of 90.00, 90.00 and 90.00 degrees. The inequivalent atoms are Ag at (0.000, 0.000, 0.166), As at (0.000, 0.000, 0.500), I at (0.193, 0.193, 0.336) and I at (0.202, 0.202, 0.000).


Record 3
Below is a geometry-optimized Sc2NbZn structure, with properties calculated at the GGA-PBE level.

The calculation puts the formation energy at 1.2 eV per formula unit. For the size of the total moment, the calculation gives 1.45 μB/f.u. The calculated density comes out at 4.99 g/cm3. The total DFT energy (no corrections) is -22.8 eV per formula unit.

The space group is R-3m (No. 166, hexagonal axes) and the conventional cell measures 3.0448, 3.0448 and 30.8783 Å, with angles of 90.00, 90.00 and 120.00 degrees. The inequivalent atoms are Sc at (0.0000, 0.0000, 0.0917), Nb at (0.0000, 0.0000, 0.0000) and Zn at (0.0000, 0.0000, 0.5000).


Record 4
Below is a geometry-optimized Hf3BS structure, with properties calculated at the GGA-PBE level.

The energy above the most stable polymorph in this dataset comes out at 0 meV per atom. For the uncorrected formation energy, the calculation gives -806 meV/atom. For the size of the total moment, the calculation gives 0.00 μB/f.u. The calculated density comes out at 10.85 g/cm3. The total DFT energy (no corrections) is -44.7 eV per formula unit.

The space group is C2/m (No. 12) and the conventional cell measures 11.041, 4.916 and 6.878 Å, with angles of 90.00, 108.46 and 90.00 degrees. The inequivalent atoms are Hf at (0.006, 0.000, 0.237), Hf at (0.175, 0.500, 0.081), Hf at (0.187, 0.500, 0.595), B at (0.163, 0.000, 0.076) and S at (0.001, 0.500, 0.738).


Record 5
Below is a geometry-optimized Li3HgRu structure, with properties calculated at the GGA-PBE level.

The calculation puts the formation energy at 3.3 eV per formula unit. The energy above the most stable polymorph in this dataset comes out at 0 meV per atom. For the size of the total moment, the calculation gives 1.02 μB/f.u. The calculated density comes out at 4.98 g/cm3. The total DFT energy (no corrections) is -12.1 eV per formula unit.

The space group is Pm-3m (No. 221) and the conventional cell measures 4.755, 4.755 and 4.755 Å, with angles of 90.00, 90.00 and 90.00 degrees. The inequivalent atoms are Li at (0.000, 0.000, 0.500), Hg at (0.500, 0.500, 0.500) and Ru at (0.000, 0.000, 0.000).


Record 6
Below is a geometry-optimized SrScIn2 structure, with properties calculated at the GGA-PBE level.

The calculation puts the formation energy at -0.4 eV per formula unit. For the size of the total moment, the calculation gives 0.25 μB/f.u. The calculated density comes out at 5.09 g/cm3. The total DFT energy (no corrections) is -13.9 eV per formula unit.

The space group is Cmm2 (No. 35) and the conventional cell measures 5.118, 5.148 and 8.963 Å, with angles of 90.00, 90.00 and 90.00 degrees. The inequivalent atoms are Sr at (0.000, 0.000, 0.000), Sc at (0.000, 0.500, 0.318), In at (0.000, 0.000, 0.514) and In at (0.000, 0.500, 0.723).


Look up the total DFT energy (no corrections) of the sixth one.
-13.9 eV per formula unit


Which value of size of the total moment does entry 5 give?
1.02 μB/f.u.


Copy entry 4 word for word.
Below is a geometry-optimized Hf3BS structure, with properties calculated at the GGA-PBE level.

The energy above the most stable polymorph in this dataset comes out at 0 meV per atom. For the uncorrected formation energy, the calculation gives -806 meV/atom. For the size of the total moment, the calculation gives 0.00 μB/f.u. The calculated density comes out at 10.85 g/cm3. The total DFT energy (no corrections) is -44.7 eV per formula unit.

The space group is C2/m (No. 12) and the conventional cell measures 11.041, 4.916 and 6.878 Å, with angles of 90.00, 108.46 and 90.00 degrees. The inequivalent atoms are Hf at (0.006, 0.000, 0.237), Hf at (0.175, 0.500, 0.081), Hf at (0.187, 0.500, 0.595), B at (0.163, 0.000, 0.076) and S at (0.001, 0.500, 0.738).